(1)
The following is a DFT calculation (PBE) of a geometry-optimized LiPrNiAs2 structure.

The structure in POSCAR format:
```
LiPrNiAs2
1.0
4.1073 0.0000 0.0000
0.0000 4.1073 0.0000
-2.0536 -2.0536 5.2804
Pr As Li Ni
1 2 1 1
Direct
0.0000 0.0000 0.0000
0.3713 0.3713 0.7426
0.6287 0.6287 0.2574
0.7500 0.2500 0.5000
0.2500 0.7500 0.5000
```

## Properties
D(E_F): 2.2 states/eV per cell
E: -0.1915 hartree per atom
energy of formation from the pure elements: -0.86 eV/atom
magnetization: 0.00 Bohr magnetons per cell

---

(2)
The following is a DFT calculation (PBE) of a geometry-optimized LiPr2Ni3As4 structure.

The structure in POSCAR format:
```
LiPr2Ni3As4
1.0
-0.1600 3.6676 2.1528
-3.5517 1.0696 -2.0863
-5.2951 -4.2449 6.8381
Ni Pr Li As
3 2 1 4
Direct
0.0000 0.0000 0.5000
0.0000 0.5000 0.1142
0.5000 0.0000 0.8858
0.5000 0.0000 0.2482
0.0000 0.5000 0.7518
0.5000 0.5000 0.5000
0.5000 0.0000 0.6350
0.5000 0.5000 0.0000
0.0000 0.0000 0.0000
0.0000 0.5000 0.3650
```

## Properties
D(E_F): 2.5 states/eV per cell
E: -0.2058 hartree per atom
energy of formation from the pure elements: -0.86 eV/atom
magnetization: 0.00 Bohr magnetons per cell

---

(3)
The following is a DFT calculation (PBE) of a geometry-optimized Li2NiAsPt structure.

The structure in POSCAR format:
```
Li2NiAsPt
1.0
4.4659 0.0000 0.0000
0.0000 4.2837 0.0000
0.0000 0.0000 4.4659
Li Pt As Ni
2 1 1 1
Direct
0.5000 0.0000 0.0000
0.0000 0.0000 0.5000
0.5000 0.5000 0.5000
0.0000 0.0000 0.0000
0.0000 0.5000 0.0000
```

## Properties
D(E_F): 3.7 states/eV per cell
E: -0.1410 hartree per atom
energy of formation from the pure elements: 0.22 eV/atom
magnetization: 0.00 Bohr magnetons per cell

---

(4)
The following is a DFT calculation (PBE) of a geometry-optimized Li2NiAs2Pt structure.

The structure in POSCAR format:
```
Li2NiAs2Pt
1.0
-2.0135 1.6693 -4.9073
-4.2425 -3.5025 0.5493
-0.1378 5.3173 5.0160
Pt Li Ni As
2 4 2 4
Direct
0.0000 0.7500 0.0000
0.0000 0.2500 0.0000
0.3950 0.1610 0.3220
0.6050 0.8390 0.6780
0.9269 0.6610 0.3220
0.0731 0.3390 0.6780
0.5000 0.7500 0.0000
0.5000 0.2500 0.0000
0.8432 0.1249 0.2498
0.1568 0.8751 0.7502
0.4066 0.6249 0.2498
0.5934 0.3751 0.7502
```

## Properties
D(E_F): 7.9 states/eV per cell
E: -0.1717 hartree per atom
energy of formation from the pure elements: -0.51 eV/atom
magnetization: 0.00 Bohr magnetons per cell